[1]
The following is a DFT calculation (GGA-PBE) of an optimized crystal structure of Er3Mg3Ag2.

Output
formation energy from the elements	-3.89	kcal/mol of atoms

a b c (Å): 3.7461 7.8544 7.8544
angles (deg): 120.00 90.00 90.00
Sites, in units of the cell vectors:
Ag 0.0000 0.3333 0.6667
Ag 0.0000 0.6667 0.3333
Mg 0.0000 0.2299 0.0000
Mg 0.0000 0.0000 0.2299
Mg 0.0000 0.7701 0.7701
Er 0.5000 0.5827 0.0000
Er 0.5000 0.0000 0.5827
Er 0.5000 0.4173 0.4173

[2]
The following is a DFT calculation (GGA-PBE) of an optimized crystal structure of K2RbU3S8.

Output
ΔE_f (raw)	-19.2	eV/f.u.

a b c (Å): 8.2304 8.2304 9.0307
angles (deg): 62.89 62.89 60.00
Each line ends with the local moment (μB).
Sites, in units of the cell vectors:
S 0.7532 0.7532 0.1817  -0.06
S 0.2711 0.2711 0.1868  -0.06
S 0.6915 0.2452 0.8181  -0.06
S 0.7266 0.7266 0.8203  -0.06
S 0.2452 0.6915 0.8181  -0.06
S 0.2452 0.2452 0.8181  -0.06
S 0.7532 0.3118 0.1817  -0.06
S 0.3118 0.7532 0.1817  -0.06
U 0.4995 0.0002 0.0007  1.79
U 0.4995 0.4995 0.0007  1.79
U 0.0002 0.4995 0.0007  1.79
K 0.1292 0.1292 0.6123  0.00
K 0.4997 0.4997 0.5010  0.00
Rb 0.8666 0.8666 0.4000  0.00

[3]
The following is a DFT calculation (GGA-PBE) of an optimized crystal structure of MnCu3Au2.

Output
formation energy from the elements	-0.49	kcal/mol of atoms

a b c (Å): 4.7981 4.7981 8.6165
angles (deg): 100.78 100.78 111.45
Each line ends with the local moment (μB).
Sites, in units of the cell vectors:
Au 0.9499 0.7006 0.9043  0.05
Au 0.0501 0.2994 0.0957  0.05
Au 0.7006 0.9499 0.4043  0.05
Au 0.2994 0.0501 0.5957  0.05
Cu 0.7878 0.5366 0.5733  0.03
Cu 0.6275 0.3725 0.2500  0.04
Cu 0.4634 0.2122 0.9267  0.03
Cu 0.5366 0.7878 0.0733  0.03
Cu 0.3725 0.6275 0.7500  0.04
Cu 0.2122 0.4634 0.4267  0.03
Mn 0.8768 0.1232 0.7500  3.80
Mn 0.1232 0.8768 0.2500  3.80

[4]
The following is a DFT calculation (GGA-PBE) of an optimized crystal structure of AgSn2Te6Pb3.

Output
ΔE_f (raw)	-3.3	eV/f.u.

a b c (Å): 4.5004 8.9900 10.1262
angles (deg): 102.96 102.84 90.00
Sites, in units of the cell vectors:
Te 0.3382 0.9130 0.6764
Te 0.6696 0.5779 0.3391
Te 0.6618 0.0870 0.3236
Te 0.0015 0.2324 0.0029
Te 0.9985 0.7676 0.9971
Te 0.3304 0.4221 0.6609
Pb 0.5000 0.5000 0.0000
Pb 0.1693 0.8340 0.3386
Pb 0.8307 0.1660 0.6614
Ag 0.5000 0.0000 0.0000
Sn 0.1617 0.3292 0.3233
Sn 0.8383 0.6708 0.6767

[5]
The following is a DFT calculation (GGA-PBE) of an optimized crystal structure of Ho2Cd3Ag2.

Output
formation energy from the elements	-6.10	kcal/mol of atoms

a b c (Å): 4.6561 5.5129 7.3323
angles (deg): 108.09 90.00 114.98
Sites, in units of the cell vectors:
Cd 0.6204 0.2409 0.4333
Cd 0.5000 0.0000 0.0000
Cd 0.3796 0.7591 0.5667
Ho 0.8638 0.7276 0.2274
Ho 0.1362 0.2724 0.7726
Ag 0.8406 0.6813 0.8017
Ag 0.1594 0.3187 0.1983

[6]
The following is a DFT calculation (GGA-PBE) of an optimized crystal structure of Co2Se.

Output
ΔE_f (raw)	1.5	eV/f.u.

a b c (Å): 3.9641 3.9641 3.1156
angles (deg): 90.00 90.00 120.00
Each line ends with the local moment (μB).
Sites, in units of the cell vectors:
Co 0.3333 0.6667 0.5000  1.66
Co 0.6667 0.3333 0.5000  1.66
Se 0.0000 0.0000 0.0000  0.09

[7]
The following is a DFT calculation (GGA-PBE) of an optimized crystal structure of VTc2P.

Output
formation energy from the elements	-8.04	kcal/mol of atoms

a b c (Å): 3.0238 4.1764 4.1764
angles (deg): 90.00 90.00 90.00
Sites, in units of the cell vectors:
Tc 0.0000 0.5000 0.0000
Tc 0.0000 0.0000 0.5000
P 0.5000 0.0000 0.0000
V 0.5000 0.5000 0.5000

[8]
The following is a DFT calculation (GGA-PBE) of an optimized crystal structure of Cs4InS4.

Output
ΔE_f (raw)	-7.1	eV/f.u.

a b c (Å): 7.0124 8.1138 8.1138
angles (deg): 79.24 64.40 64.40
Each line ends with the local moment (μB).
Sites, in units of the cell vectors:
Cs 0.4146 0.7887 0.3821  0.01
Cs 0.5854 0.2113 0.6179  0.01
Cs 0.2033 0.3821 0.2113  0.01
Cs 0.7967 0.6179 0.7887  0.01
S 0.0758 0.1572 0.6912  0.16
S 0.2330 0.6912 0.8428  0.16
S 0.9242 0.8428 0.3088  0.16
S 0.7670 0.3088 0.1572  0.16
In 0.0000 0.0000 0.0000  -0.01

[9]
The following is a DFT calculation (GGA-PBE) of an optimized crystal structure of ScIn2Ru.

Output
formation energy from the elements	0.71	kcal/mol of atoms

a b c (Å): 9.3007 9.3007 9.3007
angles (deg): 20.04 20.04 20.04
Each line ends with the local moment (μB).
Sites, in units of the cell vectors:
Ru 0.2500 0.2500 0.2500  0.33
In 0.9911 0.9911 0.9911  -0.01
In 0.5089 0.5089 0.5089  -0.01
Sc 0.7500 0.7500 0.7500  0.03

[10]
The following is a DFT calculation (GGA-PBE) of an optimized crystal structure of AcLa3HoEr.

Output
formation energy from the elements	1.00	kcal/mol of atoms

a b c (Å): 5.2999 8.1890 11.0911
angles (deg): 115.36 90.00 90.00
Sites, in units of the cell vectors:
Ac 0.2500 0.1196 0.2938
Ac 0.7500 0.8804 0.7062
La 0.7500 0.3821 0.2068
La 0.2500 0.6271 0.4542
La 0.7500 0.8672 0.0406
La 0.2500 0.1328 0.9594
La 0.7500 0.3729 0.5458
La 0.2500 0.6179 0.7932
Er 0.7500 0.8710 0.3729
Er 0.2500 0.1290 0.6271
Ho 0.2500 0.6214 0.1233
Ho 0.7500 0.3786 0.8767

[11]
The following is a DFT calculation (GGA-PBE) of an optimized crystal structure of CaZn2W.

Output
formation energy from the elements	7.44	kcal/mol of atoms

a b c (Å): 4.8812 4.8814 2.9212
angles (deg): 90.00 90.00 90.00
Sites, in units of the cell vectors:
W 0.0000 0.5000 0.5000
Zn 0.0000 0.0000 0.0000
Zn 0.5000 0.5000 0.0000
Ca 0.5000 0.0000 0.5000

[12]
The following is a DFT calculation (GGA-PBE) of an optimized crystal structure of LaCe2In.

Output
formation energy from the elements	-2.01	kcal/mol of atoms

a b c (Å): 3.4752 3.4752 9.8492
angles (deg): 90.00 90.00 90.00
Each line ends with the local moment (μB).
Sites, in units of the cell vectors:
Ce 0.0000 0.0000 0.7668  0.66
Ce 0.0000 0.0000 0.2332  0.66
In 0.5000 0.5000 0.0000  0.00
La 0.5000 0.5000 0.5000  0.01

| no. | ρ (g/cm3) |
| --- | --- |
| 1 | 6.6 |
| 2 | 4.2 |
| 3 | 12.2 |
| 4 | 7.4 |
| 5 | 9.1 |
| 6 | 7.7 |
| 7 | 8.7 |
| 8 | 3.4 |
| 9 | 7.5 |
| 10 | 7.5 |
| 11 | 8.5 |
| 12 | 7.5 |